# NbFeCo3 (PBE, optimized geometry)
# DFT total energy (eV/atom): -6.120
# Spin magnetization (Bohr magnetons per cell): 2.061
data_NbFeCo3
_cell_length_a 4.378
_cell_length_b 4.378
_cell_length_c 4.378
_cell_angle_alpha 90.00
_cell_angle_beta 90.00
_cell_angle_gamma 90.00
_symmetry_space_group_name_H-M 'P 1'
_symmetry_Int_Tables_number 1
loop_
_symmetry_equiv_pos_as_xyz
'x,y,z'
loop_
_atom_site_label
_atom_site_type_symbol
_atom_site_fract_x
_atom_site_fract_y
_atom_site_fract_z
Nb1 Nb 0.000 0.000 0.000
Fe1 Fe 0.500 0.500 0.500
Co1 Co 0.000 0.000 0.500
Co2 Co 0.000 0.500 0.000
Co3 Co 0.500 0.000 0.000